Record 1
A relaxed PdRh6W2 crystal, computed with PBE.

Properties
The calculation puts the total moment at 0.000 μB per atom. The value obtained for the density is 13.3 g cm⁻³. The energy relative to the elements comes out at 29.4 kJ/mol of formula units. The value obtained for the total DFT energy (no corrections) is -149.8 eV for the cell shown.

Lattice parameters (Å, degrees): 2.754 7.242 13.710 90.00 90.00 90.00
Space group Immm (No. 71)
Unique sites:
Pd: 0.000 0.000 0.000 [2 per cell]
Rh: 0.000 0.178 0.500 [4 per cell]
Rh: 0.000 0.317 0.323 [8 per cell]
W: 0.000 0.500 0.143 [4 per cell]



Record 2
A relaxed Ca7Mg2Cd2 crystal, computed with PBE.

Properties
The calculation puts the total moment at 0.000 μB per atom. The value obtained for the density is 2.3 g cm⁻³. The energy relative to the elements comes out at 11.8 kJ/mol of formula units. As for the energy above the most stable polymorph in this dataset: 131 meV/atom. The value obtained for the total DFT energy (no corrections) is -37.8 eV for the cell shown.

Lattice parameters (Å, degrees): 8.127 12.145 8.220 90.00 90.00 90.00
Space group Cmmm (No. 65)
Unique sites:
Ca: 0.000 0.000 0.000 [2 per cell]
Ca: 0.000 0.500 0.241 [4 per cell]
Ca: 0.250 0.250 0.285 [8 per cell]
Mg: 0.178 0.000 0.500 [4 per cell]
Cd: 0.000 0.287 0.000 [4 per cell]



Record 3
A relaxed ZrSiW2 crystal, computed with PBE.

Properties
The calculation puts the total moment at 0.000 μB per atom. The value obtained for the density is 11.9 g cm⁻³. The value obtained for the total DFT energy (no corrections) is -38.9 eV for the cell shown. For the formation energy from raw total energies, the calculation gives 246 meV/atom.

Lattice parameters (Å, degrees): 2.995 2.995 7.558 90.00 90.00 90.00
Space group P4/mmm (No. 123)
Unique sites:
Zr: 0.000 0.000 0.000 [1 per cell]
Si: 0.000 0.000 0.500 [1 per cell]
W: 0.500 0.500 0.298 [2 per cell]



Record 4
A relaxed Ca3Zn2In2 crystal, computed with PBE.

Properties
The calculation puts the total moment at 0.000 μB per atom. The value obtained for the density is 4.4 g cm⁻³. The energy relative to the elements comes out at -249.4 kJ/mol of formula units. The value obtained for the total DFT energy (no corrections) is -33.2 eV for the cell shown.

Lattice parameters (Å, degrees): 4.292 22.372 3.787 90.00 90.00 90.00
Space group Cmmm (No. 65)
Unique sites:
Ca: 0.000 0.000 0.000 [2 per cell]
Ca: 0.000 0.165 0.000 [4 per cell]
Zn: 0.000 0.280 0.500 [4 per cell]
In: 0.000 0.416 0.500 [4 per cell]



Record 5
A relaxed Fe2SiPt crystal, computed with PBE.

Properties
The calculation puts the total moment at 0.916 μB per atom. The value obtained for the density is 11.3 g cm⁻³. The value obtained for the total DFT energy (no corrections) is -29.4 eV for the cell shown. For the formation energy from raw total energies, the calculation gives -258 meV/atom.

Lattice parameters (Å, degrees): 2.731 2.731 6.584 90.00 90.00 90.00
Space group P4/mmm (No. 123)
Unique sites:
Fe: 0.000 0.000 0.216 [2 per cell]
Si: 0.500 0.500 0.000 [1 per cell]
Pt: 0.500 0.500 0.500 [1 per cell]



Record 6
A relaxed GdHfSn crystal, computed with PBE.

Properties
The calculation puts the total moment at 2.407 μB per atom. The value obtained for the density is 9.7 g cm⁻³. The energy relative to the elements comes out at -34.8 kJ/mol of formula units. The value obtained for the total DFT energy (no corrections) is -28.4 eV for the cell shown.

Lattice parameters (Å, degrees): 5.0895 5.0895 3.4848 90.00 90.00 120.00
Space group P3m1 (No. 156)
Unique sites:
Gd: 0.0000 0.0000 0.0000 [1 per cell]
Hf: 0.6667 0.3333 0.4970 [1 per cell]
Sn: 0.3333 0.6667 0.5074 [1 per cell]